[1]
! Ho2Pd2O5 GGA-PBE relaxed; values from VASP
! * uncorrected energy: -6.584 eV/atom
! * crystal system: tetragonal
! * offset from the most stable computed form: 0.000 eV/atom
&SYSTEM
  ibrav = 0, nat = 9, ntyp = 3
/
ATOMIC_SPECIES
O 16.00 O.upf
Pd 106.42 Pd.upf
Ho 164.93 Ho.upf
CELL_PARAMETERS angstrom
-0.515 6.186 -2.866
-0.684 -1.701 -3.549
-3.924 0.019 0.747
ATOMIC_POSITIONS crystal
O 0.227 0.000 0.500
O 0.227 0.500 0.000
O 0.773 0.500 0.000
O 0.500 0.500 0.500
O 0.773 0.000 0.500
Pd 0.809 0.500 0.500
Pd 0.191 0.500 0.500
Ho 0.500 0.000 0.000
Ho 0.000 0.000 0.000

=====

[2]
! Ta25Re4 GGA-PBE relaxed; values from VASP
! * calculated formation energy: 192 meV/atom
! * uncorrected energy: -11.739 eV/atom
! * crystal system: cubic
&SYSTEM
  ibrav = 0, nat = 29, ntyp = 2
/
ATOMIC_SPECIES
Ta 180.95 Ta.upf
Re 186.21 Re.upf
CELL_PARAMETERS angstrom
-5.087 5.087 5.087
5.087 -5.087 5.087
5.087 5.087 -5.087
ATOMIC_POSITIONS crystal
Ta 0.814 0.814 0.186
Ta 0.000 0.685 0.408
Ta 0.000 0.000 0.000
Ta 0.315 0.723 0.315
Ta 0.628 0.628 0.814
Ta 0.315 0.315 0.723
Ta 0.000 0.408 0.685
Ta 0.186 0.372 0.000
Ta 0.723 0.315 0.315
Ta 0.000 0.186 0.372
Ta 0.814 0.628 0.628
Ta 0.814 0.186 0.814
Ta 0.372 0.186 0.000
Ta 0.592 0.277 0.592
Ta 0.592 0.592 0.277
Ta 0.186 0.000 0.372
Ta 0.186 0.814 0.814
Ta 0.000 0.372 0.186
Ta 0.685 0.000 0.408
Ta 0.408 0.000 0.685
Ta 0.628 0.814 0.628
Ta 0.408 0.685 0.000
Ta 0.685 0.408 0.000
Ta 0.277 0.592 0.592
Ta 0.372 0.000 0.186
Re 0.364 0.364 0.364
Re 0.636 0.000 0.000
Re 0.000 0.000 0.636
Re 0.000 0.636 0.000

=====

[3]
! NpScW GGA-PBE relaxed; values from VASP
! * calculated formation energy: 794 meV/atom
! * uncorrected energy: -9.893 eV/atom
! * crystal system: cubic
! * offset from the most stable computed form: 0.000 eV/atom
&SYSTEM
  ibrav = 0, nat = 3, ntyp = 3
/
ATOMIC_SPECIES
W 183.84 W.upf
Sc 44.96 Sc.upf
Np 237.00 Np.upf
CELL_PARAMETERS angstrom
0.000 3.243 3.243
3.243 0.000 3.243
3.243 3.243 0.000
ATOMIC_POSITIONS crystal
W 0.250 0.250 0.250
Sc 0.500 0.500 0.500
Np 0.000 0.000 0.000

=====

[4]
! NpAsPb GGA-PBE relaxed; values from VASP
! * uncorrected energy: -6.963 eV/atom
! * crystal system: cubic
! * offset from the most stable computed form: 0.000 eV/atom
&SYSTEM
  ibrav = 0, nat = 3, ntyp = 3
/
ATOMIC_SPECIES
Np 237.00 Np.upf
Pb 207.20 Pb.upf
As 74.92 As.upf
CELL_PARAMETERS angstrom
1.125 1.747 4.471
-3.204 2.878 2.400
-2.352 -1.714 3.980
ATOMIC_POSITIONS crystal
Np 0.250 0.250 0.250
Pb 0.750 0.750 0.750
As 0.000 0.000 0.000